# ZrCd2Ni

A relaxed ZrCd2Ni crystal (PBE, Alexandria).

The value obtained for the formation energy is -0.108 eV/atom. The final energy comes out at -4.15 eV per atom.

```
4
Lattice="3.655 0.000 0.000 0.000 3.377 -0.059 0.000 1.782 6.388" Properties=species:S:1:pos:R:3 pbc="T T T"
Cd 0.000 1.996 6.332
Cd 1.828 1.927 1.599
Ni 0.000 1.947 3.543
Zr 1.828 3.650 4.407
```

# ZrCd2Ni

A relaxed ZrCd2Ni crystal (PBE, Alexandria).

The value obtained for the formation energy is 0.215 eV/atom. The final energy comes out at -3.83 eV per atom.

```
8
Lattice="-7.870 0.047 0.417 -0.181 -7.443 -2.582 -3.899 -4.560 1.393" Properties=species:S:1:pos:R:3 pbc="T T T"
Ni -4.025 -3.698 -1.083
Ni -4.053 -7.851 -1.136
Zr 0.000 0.000 0.000
Zr -7.897 -4.106 0.363
Cd -5.481 -2.044 0.263
Cd -2.507 -5.784 -1.191
Cd -5.954 -6.605 0.089
Cd -9.959 -9.481 -0.708
```

> Which formula does entry 1 have?

ZrCd2Ni